1.
Compound: Zr2AlRh
Source: Alexandria
Functional: PBE
Structure: optimized geometry

abc: 4.3109 4.3109 3.9761
angles: 90.00 90.00 90.00
Last column: nearest neighbours and their distance in Å.
Space group P4/mmm (No. 123)
Symmetry-distinct sites (fractional):
Zr: 0.0000 0.5000 0.0000 [2 per cell]  4 Al 2.93, 4 Rh 2.93, 4 Zr 3.05
Al: 0.0000 0.0000 0.5000 [1 per cell]  8 Zr 2.93, 4 Rh 3.05
Rh: 0.5000 0.5000 0.5000 [1 per cell]  8 Zr 2.93, 4 Al 3.05

Output
The value obtained for the magnetic moment is 0.0 μB/cell. For the density of states at the Fermi level, the calculation gives 4.51 states/eV/cell.

2.
Compound: ZrAl2Rh
Source: Alexandria
Functional: PBE
Structure: optimized geometry

abc: 2.9301 4.3199 5.3610
angles: 90.00 98.11 90.00
Last column: nearest neighbours and their distance in Å.
Space group Pm (No. 6)
Symmetry-distinct sites (fractional):
Zr: 0.0000 0.0000 0.0000 [1 per cell]  6 Al 2.77-2.97, 2 Rh 2.89, 2 Zr 2.93
Al: 0.5501 0.0000 0.5088 [1 per cell]  2 Al 2.60, 4 Rh 2.62-2.88, 1 Zr 2.77
Al: 0.5683 0.5000 0.2413 [1 per cell]  2 Al 2.60, 2 Rh 2.68-2.70, 2 Zr 2.90
Rh: 0.1727 0.5000 0.6669 [1 per cell]  6 Al 2.62-2.88, 2 Zr 2.89, 2 Rh 2.93

Output
The value obtained for the magnetic moment is 0.0 μB/cell. For the density of states at the Fermi level, the calculation gives 2.33 states/eV/cell.

We obtain DFT formation energy values of -551 -517 meV/atom for the records listed above, in that order.